# 1
16
Lattice="7.315 0.000 0.000 0.000 8.465 0.000 0.000 0.000 7.176" Properties=species:S:1:pos:R:3 comment="MnCuTe2 | the Alexandria database | PBE | optimized geometry" sg=Pna2_1 crystal_system=orthorhombic e_form_raw_kj_per_mol_atoms=-7 pbc="T T T"
Mn 0.600 1.066 0.000
Mn 3.058 5.298 3.588
Mn 4.257 3.167 0.000
Mn 6.716 7.399 3.588
Cu 0.630 5.279 0.011
Cu 3.027 1.047 3.599
Cu 4.288 7.418 0.011
Cu 6.685 3.186 3.599
Te 0.589 5.237 2.587
Te 0.619 1.113 2.665
Te 3.039 5.345 6.253
Te 3.069 1.005 6.175
Te 4.247 7.459 2.587
Te 4.276 3.120 2.665
Te 6.697 7.352 6.253
Te 6.726 3.227 6.175



# 2
4
Lattice="2.600 0.000 0.000 0.000 3.572 0.000 0.000 0.000 5.140" Properties=species:S:1:pos:R:3 comment="CrNi2Rh | the Alexandria database | PBE | optimized geometry" sg=Pmm2 formation_energy_kj_per_mol_atoms=-2.32 crystal_system=orthorhombic pbc="T T T"
Cr 0.000 0.000 0.000
Ni 0.000 0.000 2.422
Ni 1.300 1.786 1.253
Rh 1.300 1.786 3.836